A relaxed structure of SrTl2MoO6. Source: Alexandria via LeMat-Bulk, functional PBE+U.

The size of the total moment comes out at 0.0 μB per cell. The crystal system is monoclinic. The symmetry is C2/c (15). Its density of states at the Fermi level is 0.165 states/eV/atom. The energy comes out at -0.2124 Ha/atom.

extended XYZ file:
```
20
Lattice="6.525 -4.432 0.000 6.525 4.432 0.000 -2.805 0.000 7.642" Properties=species:S:1:pos:R:3 pbc="T T T"
Sr 4.422 2.332 5.731
Sr 5.824 -2.332 1.910
Tl 3.115 0.140 3.054
Tl 1.712 -0.140 6.875
Tl 8.534 0.140 0.766
Tl 7.131 -0.140 4.587
Mo 5.824 3.106 1.910
Mo 4.422 -3.106 5.731
O -0.793 0.189 6.192
O 0.609 -0.189 2.371
O 2.603 0.761 5.091
O 6.321 2.105 0.488
O 5.327 2.105 3.333
O 4.006 -0.761 1.270
O 6.240 0.761 6.372
O 4.919 -2.105 4.308
O 3.925 -2.105 7.154
O 7.643 -0.761 2.551
O 9.637 0.189 5.271
O 11.039 -0.189 1.450
```